Entry from OQMD via LeMat-Bulk: a geometry-optimized Hf2Nb4As3N3 structure (GGA-PBE).

The space group is C2/c (No. 15) and the conventional cell measures 10.0362, 5.8279 and 12.4546 Å, with angles of 90.00, 105.44 and 90.00 degrees. The asymmetric unit holds Hf at (0.0548, 0.0867, 0.4010), Nb at (0.1141, 0.4320, 0.5898), Nb at (0.2128, 0.4084, 0.9105), As at (0.0000, 0.4307, 0.2500), As at (0.1732, 0.0934, 0.7481), N at (0.0756, 0.2288, 0.9998) and N at (0.2500, 0.2500, 0.5000).

As for the total energy: -442.424 eV per cell. As for the crystal system: monoclinic. Its total moment is 0.00 μB/atom.